Entry 1:
A geometry-optimized Dy6Tl2Os structure. Source: Alexandria via LeMat-Bulk, functional PBE.

- polymorph energy (0 for the lowest one) (meV per atom) = 159
- DOS at the Fermi energy (states/eV per atom) = 0.933
- VASP energy (eV/atom) = -4.969
- M_tot (μB/atom) = 0.0000

Cell: 5.0909 7.2710 8.6579 Å, 114.83 107.09 90.00°
With the nearest neighbours (Å) after each atom.
Fractional positions:
Dy: 0.5000 0.2220 0.0000  2 Os 3.01, 2 Tl 3.19, 1 Dy 3.23
Dy: 0.8463 0.0843 0.6924  1 Os 2.87, 3 Tl 3.18-3.19
Dy: 0.8463 0.6081 0.6924  1 Os 2.87, 3 Tl 3.18-3.19
Dy: 0.1537 0.9157 0.3076  1 Os 2.87, 3 Tl 3.18-3.19
Dy: 0.1537 0.3919 0.3076  1 Os 2.87, 3 Tl 3.18-3.19
Dy: 0.5000 0.7780 0.0000  2 Os 3.01, 2 Tl 3.19, 1 Dy 3.23
Tl: 0.6659 0.6660 0.3320  8 Dy 3.18-3.19
Tl: 0.3341 0.3340 0.6680  8 Dy 3.18-3.19
Os: 0.0000 0.0000 0.0000  8 Dy 2.87-3.01

***

Entry 2:
A geometry-optimized Ca3Pu3OsN8 structure. Source: Alexandria via LeMat-Bulk, functional PBE.

- DOS at the Fermi energy (states/eV per atom) = 1.531
- VASP energy (eV/atom) = -9.291
- M_tot (μB/atom) = 0.7805
- E_form (uncorrected) (eV/atom) = -0.835

Cell: 6.7135 6.7134 6.8374 Å, 119.40 90.00 120.00°
With the nearest neighbours (Å) after each atom.
Fractional positions:
Pu: 0.5000 0.0000 0.5000  6 N 2.29-2.32
Pu: 0.0000 0.5000 0.5000  6 N 2.29-2.32
Pu: 0.5000 0.5000 0.5000  6 N 2.29-2.32
N: 0.2223 0.9748 0.6970  1 Os 2.13, 2 Pu 2.29
N: 0.2475 0.0252 0.3030  1 Os 2.13, 2 Pu 2.29
N: 0.2223 0.4445 0.6969  1 Os 2.13, 2 Pu 2.29
N: 0.7777 0.0252 0.3030  1 Os 2.13, 2 Pu 2.29
N: 0.7417 0.4835 0.7251  3 Pu 2.32, 3 Ca 2.48
N: 0.2583 0.5165 0.2749  3 Pu 2.32, 3 Ca 2.48
N: 0.7777 0.5555 0.3031  1 Os 2.13, 2 Pu 2.29
N: 0.7525 0.9748 0.6970  1 Os 2.13, 2 Pu 2.29
Ca: 0.0000 0.0000 0.0000  6 N 2.48-2.54
Ca: 0.0000 0.5000 0.0000  6 N 2.48-2.54
Ca: 0.5000 0.5000 0.0000  6 N 2.48-2.54
Os: 0.0000 0.0000 0.5000  6 N 2.13

***

Entry 3:
A geometry-optimized TaNi2Pt5 structure. Source: Alexandria via LeMat-Bulk, functional PBE.

- polymorph energy (0 for the lowest one) (meV per atom) = 0
- DOS at the Fermi energy (states/eV per atom) = 1.219
- VASP energy (eV/atom) = -7.091
- M_tot (μB/atom) = 0.0167

Cell: 3.8674 5.5281 11.0854 Å, 90.00 90.00 90.00°
With the nearest neighbours (Å) after each atom.
Fractional positions:
Pt: 0.5000 0.7526 0.3800  4 Ni 2.70-2.84, 2 Ta 2.72, 6 Pt 2.73-2.81
Pt: 0.0000 0.4925 0.7581  1 Ta 2.68, 4 Ni 2.70-2.82, 7 Pt 2.75-2.86
Pt: 0.0000 0.5000 0.5000  6 Pt 2.73-2.86, 4 Ni 2.74, 2 Ta 2.76
Pt: 0.5000 0.2526 0.1200  4 Ni 2.70-2.84, 2 Ta 2.72, 6 Pt 2.73-2.81
Pt: 0.0000 0.0000 0.0000  6 Pt 2.73-2.86, 4 Ni 2.74, 2 Ta 2.76
Pt: 0.5000 0.2474 0.6200  4 Ni 2.70-2.84, 2 Ta 2.72, 6 Pt 2.73-2.81
Pt: 0.5000 0.7474 0.8800  4 Ni 2.70-2.84, 2 Ta 2.72, 6 Pt 2.73-2.81
Pt: 0.0000 0.9925 0.7419  1 Ta 2.68, 4 Ni 2.70-2.82, 7 Pt 2.75-2.86
Pt: 0.0000 0.5075 0.2419  1 Ta 2.68, 4 Ni 2.70-2.82, 7 Pt 2.75-2.86
Pt: 0.0000 0.0075 0.2581  1 Ta 2.68, 4 Ni 2.70-2.82, 7 Pt 2.75-2.86
Ta: 0.0000 0.0000 0.5000  8 Pt 2.68-2.76, 4 Ni 2.75
Ta: 0.0000 0.5000 0.0000  8 Pt 2.68-2.76, 4 Ni 2.75
Ni: 0.5000 0.7512 0.1236  10 Pt 2.70-2.84, 2 Ta 2.75
Ni: 0.5000 0.7488 0.6236  10 Pt 2.70-2.84, 2 Ta 2.75
Ni: 0.5000 0.2488 0.8764  10 Pt 2.70-2.84, 2 Ta 2.75
Ni: 0.5000 0.2512 0.3764  10 Pt 2.70-2.84, 2 Ta 2.75

***

Entry 4:
A geometry-optimized TcOsRh2 structure. Source: Alexandria via LeMat-Bulk, functional PBE.

- polymorph energy (0 for the lowest one) (meV per atom) = 82
- DOS at the Fermi energy (states/eV per atom) = 1.463
- VASP energy (eV/atom) = -9.054
- M_tot (μB/atom) = 0.0003

Cell: 9.0063 9.0063 9.0063 Å, 17.45 17.45 17.45°
With the nearest neighbours (Å) after each atom.
Fractional positions:
Rh: 0.0010 0.0010 0.0010  3 Os 2.71, 9 Rh 2.73-2.77
Rh: 0.2485 0.2485 0.2485  3 Tc 2.69, 9 Rh 2.73-2.77
Tc: 0.4999 0.4999 0.4999  3 Rh 2.69, 3 Os 2.71, 6 Tc 2.73
Os: 0.7506 0.7506 0.7506  3 Tc 2.71, 3 Rh 2.71, 6 Os 2.73

***

Entry 5:
A geometry-optimized Li3Eu structure. Source: Alexandria via LeMat-Bulk, functional PBE.

- DOS at the Fermi energy (states/eV per atom) = 0.816
- VASP energy (eV/atom) = -3.883
- M_tot (μB/atom) = 1.8945

Cell: 5.4046 5.4022 5.4001 Å, 60.08 59.98 59.95°
With the nearest neighbours (Å) after each atom.
Fractional positions:
Li: 0.9998 0.0002 0.0001  4 Li 3.31, 4 Eu 3.31
Li: 0.5002 0.4998 0.4998  4 Li 3.31, 4 Eu 3.31
Li: 0.2500 0.2500 0.2500  8 Li 3.31
Eu: 0.7500 0.7500 0.7500  8 Li 3.31

***

Entry 6:
A geometry-optimized Pm2AlCo3Si4 structure. Source: Alexandria via LeMat-Bulk, functional PBE.

- DOS at the Fermi energy (states/eV per atom) = 0.769
- VASP energy (eV/atom) = -6.309
- M_tot (μB/atom) = 0.0001
- E_form (uncorrected) (eV/atom) = -0.684

Cell: 4.0020 4.0020 9.9529 Å, 90.00 90.00 90.00°
With the nearest neighbours (Å) after each atom.
Fractional positions:
Si: 0.0000 0.0000 0.0000  4 Co 2.32
Si: 0.0000 0.5000 0.3507  3 Co 2.31-2.49, 2 Al 2.49
Si: 0.5000 0.5000 0.0000  4 Co 2.32
Si: 0.5000 0.0000 0.6493  3 Co 2.31-2.49, 2 Al 2.49
Co: 0.0000 0.5000 0.1182  5 Si 2.31-2.32
Co: 0.0000 0.0000 0.5000  4 Si 2.49
Co: 0.5000 0.0000 0.8818  5 Si 2.31-2.32
Al: 0.5000 0.5000 0.5000  4 Si 2.49
Pm: 0.0000 0.5000 0.7629  8 Si 3.05-3.09, 6 Co 3.07-3.29, 2 Al 3.29
Pm: 0.5000 0.0000 0.2371  8 Si 3.05-3.09, 6 Co 3.07-3.29, 2 Al 3.29

***

Entry 7:
A geometry-optimized PmNpS2 structure. Source: Alexandria via LeMat-Bulk, functional PBE.

- polymorph energy (0 for the lowest one) (meV per atom) = 126
- DOS at the Fermi energy (states/eV per atom) = 2.189
- VASP energy (eV/atom) = -8.069
- M_tot (μB/atom) = 1.1266
- E_form (uncorrected) (eV/atom) = -1.582

Cell: 3.8373 3.8373 7.4279 Å, 75.03 75.03 60.00°
With the nearest neighbours (Å) after each atom.
Fractional positions:
S: 0.2495 0.2495 0.2514  3 Np 2.89, 3 Pm 2.90
S: 0.0843 0.0843 0.7470  3 Np 2.77, 3 Pm 2.80
Pm: 0.6705 0.6705 0.9885  6 S 2.80-2.90
Np: 0.4956 0.4956 0.5131  6 S 2.77-2.89

***

Entry 8:
A geometry-optimized Tc4PRu structure. Source: Alexandria via LeMat-Bulk, functional PBE.

- DOS at the Fermi energy (states/eV per atom) = 1.319
- VASP energy (eV/atom) = -8.661
- M_tot (μB/atom) = 0.0001

Cell: 5.0721 5.0721 5.0721 Å, 60.00 60.00 60.00°
With the nearest neighbours (Å) after each atom.
Fractional positions:
P: 0.7500 0.7500 0.7500  12 Tc 2.97, 4 Ru 3.11
Tc: 0.3750 0.8750 0.3750  6 Tc 2.54
Tc: 0.3750 0.3750 0.3750  6 Tc 2.54
Tc: 0.8750 0.3750 0.3750  6 Tc 2.54
Tc: 0.3750 0.3750 0.8750  6 Tc 2.54
Ru: 0.0000 0.0000 0.0000  12 Tc 2.97, 4 P 3.11